# 1
Er2ScAl3Si2Ir | PBE | relaxed

Cell and atoms, written as POSCAR:
```
Er2ScAl3Si2Ir
1.0
4.161 0.000 0.000
0.000 5.842 3.407
0.000 -5.842 3.407
Er Sc Al Si Ir
2 1 3 2 1
Cartesian
0.000 -3.405 3.407
0.000 3.405 3.407
0.000 0.000 2.557
2.080 0.000 0.174
2.080 -1.373 4.560
2.080 1.373 4.560
2.080 -1.898 1.979
2.080 1.898 1.979
0.000 0.000 5.309
```

Computed properties:
energy: -0.4426 Ry/atom
magnetization: 0.0 μB per cell

# 2
GdTaFe | PBE | relaxed

Cell and atoms, written as POSCAR:
```
GdTaFe
1.0
0.000 3.130 3.130
3.130 0.000 3.130
3.130 3.130 0.000
Gd Ta Fe
1 1 1
Cartesian
0.000 0.000 0.000
3.130 3.130 3.130
1.565 1.565 1.565
```

Computed properties:
energy: -0.5738 Ry/atom
DFT formation energy: 465 meV/atom
magnetization: 0.0 μB per cell

# 3
TlIr | PBE | relaxed

Cell and atoms, written as POSCAR:
```
TlIr
1.0
0.000 3.067 3.067
3.067 0.000 3.067
3.067 3.067 0.000
Tl Ir
1 1
Cartesian
0.000 0.000 0.000
1.533 1.533 1.533
```

Computed properties:
energy: -0.3130 Ry/atom
magnetization: 0.0 μB per cell

# 4
PrGdNi2Pb | PBE | relaxed

Cell and atoms, written as POSCAR:
```
PrGdNi2Pb
1.0
3.760 0.000 0.000
0.000 2.029 7.275
0.000 -2.029 7.275
Pr Gd Ni Pb
1 1 2 1
Cartesian
0.000 0.000 0.000
0.000 0.000 4.029
1.880 0.000 6.281
1.880 0.000 12.171
1.880 0.000 9.334
```

Computed properties:
energy: -0.3909 Ry/atom
magnetization: 0.0 μB per cell

# 5
ZnFeCoAs | PBE | relaxed

Cell and atoms, written as POSCAR:
```
ZnFeCoAs
1.0
0.000 2.970 2.970
2.970 0.000 2.970
2.970 2.970 0.000
Zn Fe Co As
1 1 1 1
Cartesian
0.000 0.000 0.000
2.970 2.970 2.970
1.485 1.485 1.485
4.455 4.455 4.455
```

Computed properties:
energy above the lowest structure with this stoichiometry: 0.181 eV/atom
energy: -0.3758 Ry/atom
magnetization: 3.3 μB per cell

# 6
AcYSc | PBE | relaxed

Cell and atoms, written as POSCAR:
```
AcYSc
1.0
0.000 3.871 3.871
3.871 0.000 3.871
3.871 3.871 0.000
Ac Y Sc
1 1 1
Cartesian
0.000 0.000 0.000
1.936 1.936 1.936
5.807 5.807 5.807
```

Computed properties:
energy above the lowest structure with this stoichiometry: 0.259 eV/atom
energy: -0.3469 Ry/atom
DFT formation energy: 914 meV/atom
magnetization: 0.4 μB per cell

# 7
DyYNb2Si2 | PBE | relaxed

Cell and atoms, written as POSCAR:
```
DyYNb2Si2
1.0
4.005 0.000 0.000
0.000 4.005 0.000
0.000 0.000 7.790
Dy Y Nb Si
1 1 2 2
Cartesian
0.000 0.000 0.000
2.002 2.002 2.287
0.000 2.002 5.039
2.002 0.000 5.039
0.000 0.000 3.174
2.002 2.002 6.905
```

Computed properties:
energy: -0.5628 Ry/atom
magnetization: 1.1 μB per cell

# 8
Tb2AgW6 | PBE | relaxed

Cell and atoms, written as POSCAR:
```
Tb2AgW6
1.0
3.752 0.000 0.000
0.000 3.752 0.000
0.000 0.000 14.796
Tb Ag W
2 1 6
Cartesian
0.000 0.000 2.698
0.000 0.000 12.098
1.876 1.876 7.398
0.000 0.000 0.000
0.000 0.000 7.398
0.000 1.876 5.209
0.000 1.876 9.587
1.876 0.000 5.209
1.876 0.000 9.587
```

Computed properties:
energy: -0.6397 Ry/atom
DFT formation energy: 1280 meV/atom
magnetization: 0.8 μB per cell

> What is the formula in the fifth record?

ZnFeCoAs